Here is an optimized crystal structure of Li2TaW from Alexandria. Energies are from PBE.

ΔH_f (0 K)	843	meV/atom
E_tot	-6.315	eV/atom
size of the total moment	0.00	μB/atom
energy relative to the lowest polymorph listed for this composition	234.2	kJ/mol of formula units

Cell: 6.094 6.094 6.094 Å, 90.00 90.00 90.00°
Space group Fm-3m (No. 225)
Unique sites:
Li: 0.250 0.250 0.250 x8
Ta: 0.000 0.000 0.000 x4
W: 0.000 0.000 0.500 x4